A.
Computed, not measured: crystalline FeSiC at its relaxed geometry at the PBE-GGA level of DFT.

Lattice parameters (Å, degrees): 2.9524 3.1701 4.0746 78.56 68.88 62.25
Element x y z (fractional)
Fe (0.0000, 0.0000, 0.0000)
Si (0.5279, 0.3715, 0.5715)
C (0.2822, 0.0129, 0.4207)

Calculated values
Fermi-level density of states ... 1.77 states/eV/cell
Total magnetic moment ... 2.0 μB per formula unit

B.
Computed, not measured: crystalline FeSiC at its relaxed geometry at the PBE-GGA level of DFT.

Lattice parameters (Å, degrees): 2.7608 2.7608 12.6892 90.00 90.00 120.00
Element x y z (fractional)
Fe (0.0000, 0.0000, 0.0000)
Fe (0.3333, 0.6667, 0.6667)
Fe (0.6667, 0.3333, 0.3333)
Si (0.0000, 0.0000, 0.1886)
Si (0.3333, 0.6667, 0.8553)
Si (0.6667, 0.3333, 0.5220)
C (0.0000, 0.0000, 0.4253)
C (0.3333, 0.6667, 0.0920)
C (0.6667, 0.3333, 0.7587)

Calculated values
Fermi-level density of states ... 2.30 states/eV/cell
Total magnetic moment ... 0.0 μB per formula unit

The least stable of them is A.

A.
Computed, not measured: crystalline FeSiC at its relaxed geometry at the PBE-GGA level of DFT.

Lattice parameters (Å, degrees): 6.7526 2.6319 3.7131 90.00 112.19 90.00
Element x y z (fractional)
Fe (0.0000, 0.0000, 0.0000)
Fe (0.5000, 0.5000, 0.0000)
Si (0.3810, 0.0000, 0.4293)
Si (0.8810, 0.5000, 0.4293)
C (0.2107, 0.5000, 0.0136)
C (0.7107, 0.0000, 0.0136)

Calculated values
Fermi-level density of states ... 1.24 states/eV/cell
Total magnetic moment ... 0.0 μB per formula unit

B.
Computed, not measured: crystalline FeSiC at its relaxed geometry at the PBE-GGA level of DFT.

Lattice parameters (Å, degrees): 2.8001 2.8001 13.8177 90.00 90.00 120.00
Element x y z (fractional)
Fe (0.0000, 0.0000, 0.0000)
Fe (0.3333, 0.6667, 0.6667)
Fe (0.6667, 0.3333, 0.3333)
Si (0.0000, 0.0000, 0.5435)
Si (0.3333, 0.6667, 0.2102)
Si (0.6667, 0.3333, 0.8769)
C (0.0000, 0.0000, 0.4118)
C (0.3333, 0.6667, 0.0785)
C (0.6667, 0.3333, 0.7451)

Calculated values
Fermi-level density of states ... 4.44 states/eV/cell
Total magnetic moment ... 0.0 μB per formula unit

C.
Computed, not measured: crystalline FeSiC at its relaxed geometry at the PBE-GGA level of DFT.

Lattice parameters (Å, degrees): 2.7694 2.7694 4.6365 90.00 90.00 120.00
Element x y z (fractional)
Fe (0.0000, 0.0000, 0.0000)
Si (0.6667, 0.3333, 0.6339)
C (0.6667, 0.3333, 0.2370)

Calculated values
Fermi-level density of states ... 0.07 states/eV/cell
Total magnetic moment ... 0.0 μB per formula unit

D.
Computed, not measured: crystalline FeSiC at its relaxed geometry at the PBE-GGA level of DFT.

Lattice parameters (Å, degrees): 2.5831 2.5831 4.3572 90.00 90.00 90.00
Element x y z (fractional)
Fe (0.0000, 0.0000, 0.0000)
Si (0.5000, 0.5000, 0.6387)
C (0.5000, 0.5000, 0.2162)

Calculated values
Fermi-level density of states ... 1.58 states/eV/cell
Total magnetic moment ... 0.1 μB per formula unit

The least stable of them is A.

A.
Computed, not measured: crystalline FeSiC at its relaxed geometry at the PBE-GGA level of DFT.

Lattice parameters (Å, degrees): 2.7492 2.6100 4.7506 90.00 105.96 90.00
Element x y z (fractional)
Fe (0.0000, 0.0000, 0.0000)
Si (0.6463, 0.5000, 0.3087)
C (0.8494, 0.5000, 0.7132)

Calculated values
Fermi-level density of states ... 0.66 states/eV/cell
Total magnetic moment ... 0.0 μB per formula unit

B.
Computed, not measured: crystalline FeSiC at its relaxed geometry at the PBE-GGA level of DFT.

Lattice parameters (Å, degrees): 2.6217 2.6509 8.4835 90.00 90.00 90.00
Element x y z (fractional)
Fe (0.0000, 0.0000, 0.0000)
Fe (0.5000, 0.5000, 0.5000)
Si (0.0000, 0.5000, 0.7410)
Si (0.5000, 0.0000, 0.2410)
C (0.0000, 0.0000, 0.4114)
C (0.5000, 0.5000, 0.9114)

Calculated values
Fermi-level density of states ... 2.19 states/eV/cell
Total magnetic moment ... 0.1 μB per formula unit

C.
Computed, not measured: crystalline FeSiC at its relaxed geometry at the PBE-GGA level of DFT.

Lattice parameters (Å, degrees): 2.6032 2.7112 4.1271 90.00 90.00 90.00
Element x y z (fractional)
Fe (0.0000, 0.0000, 0.0000)
Si (0.5000, 0.0000, 0.5226)
C (0.5000, 0.5000, 0.1917)

Calculated values
Fermi-level density of states ... 1.44 states/eV/cell
Total magnetic moment ... 0.4 μB per formula unit

The least stable of them is A.

A.
Computed, not measured: crystalline FeSiC at its relaxed geometry at the PBE-GGA level of DFT.

Lattice parameters (Å, degrees): 2.9114 2.7621 6.9203 90.00 90.00 90.00
Element x y z (fractional)
Fe (0.0000, 0.0000, 0.0000)
Fe (0.0000, 0.5000, 0.5000)
Si (0.5000, 0.0000, 0.7121)
Si (0.5000, 0.5000, 0.2121)
C (0.0000, 0.0000, 0.2894)
C (0.0000, 0.5000, 0.7894)

Calculated values
Fermi-level density of states ... 3.88 states/eV/cell
Total magnetic moment ... 0.9 μB per formula unit

B.
Computed, not measured: crystalline FeSiC at its relaxed geometry at the PBE-GGA level of DFT.

Lattice parameters (Å, degrees): 2.7012 2.7925 4.2599 85.13 81.88 71.82
Element x y z (fractional)
Fe (0.0000, 0.0000, 0.0000)
Si (0.4308, 0.9040, 0.4523)
C (0.4088, 0.3852, 0.7658)

Calculated values
Fermi-level density of states ... 0.57 states/eV/cell
Total magnetic moment ... 0.0 μB per formula unit

The least stable of them is A.